[1]
The following is a GGA-PBE calculation of an optimized crystal structure of Ba3MgBe2O6, from the Alexandria database.

Output
As for the uncorrected formation energy: -30.6 eV per formula unit. For the uncorrected energy, the calculation gives -6.2611 eV/atom. The size of the total moment comes out at 0.00 μB/f.u.

```
12
Lattice="5.708 0.000 0.000 -2.854 4.943 0.000 0.000 0.000 6.770" Properties=species:S:1:pos:R:3 pbc="T T T"
Ba 0.000 0.000 0.000
Ba 0.000 3.295 4.579
Ba 2.854 1.648 2.190
Mg 0.000 0.000 3.385
Be 0.000 3.295 1.864
Be 2.854 1.648 4.905
O 0.000 1.750 2.035
O -1.338 4.068 2.035
O 1.516 0.875 4.735
O 1.338 4.068 2.035
O 4.192 0.875 4.735
O 2.854 3.193 4.735
```

[2]
The following is a GGA-PBE calculation of an optimized crystal structure of BaMgBeP2, from the Alexandria database.

Output
The formation energy is -3.294 eV/f.u. For the uncorrected energy, the calculation gives -4.2714 eV/atom. The size of the total moment comes out at 0.00 μB/f.u.

```
10
Lattice="7.071 0.000 0.000 0.000 5.138 0.000 -1.781 0.000 6.886" Properties=species:S:1:pos:R:3 pbc="T T T"
Ba -0.445 1.230 1.722
Ba -1.336 3.908 5.165
Mg 2.200 2.514 5.165
Mg 3.090 2.624 1.722
Be 3.536 0.000 0.000
Be 2.645 0.000 3.443
P 0.295 1.321 6.529
P 1.186 3.817 3.086
P 4.104 1.321 3.800
P 4.994 3.817 0.357
```

[3]
The following is a GGA-PBE calculation of an optimized crystal structure of Ba2MgBeRe, from the Alexandria database.

Output
The formation energy is 5.453 eV/f.u. For the uncorrected energy, the calculation gives -3.2323 eV/atom. The size of the total moment comes out at 0.00 μB/f.u.

```
5
Lattice="5.799 0.000 0.000 0.000 5.799 0.000 0.000 0.000 5.238" Properties=species:S:1:pos:R:3 pbc="T T T"
Ba 0.000 2.900 0.000
Ba 2.900 0.000 0.000
Mg 0.000 0.000 2.619
Be 2.900 2.900 2.619
Re 0.000 0.000 0.000
```

Q: Which of these has the highest uncorrected energy?
A: Ba2MgBeRe

Q: Which of these has the lowest uncorrected energy?
A: Ba3MgBe2O6